DFT (PBE) results for a geometry-optimized AcPrU2O8 structure.

The space group is I-4m2 (No. 119) and the conventional cell measures 7.6881, 7.6881 and 7.5151 Å, with angles of 90.00, 90.00 and 90.00 degrees. Symmetry generates all atoms from Ac at (0.0000, 0.0000, 0.0000), Pr at (0.0000, 0.5000, 0.7500), U at (0.0000, 0.0000, 0.5000), U at (0.0000, 0.5000, 0.2500), O at (0.0000, 0.1841, 0.6934) and O at (0.0000, 0.3250, 0.0490).

As for the uncorrected formation energy: -3077 meV per atom. The value obtained for the density of states at the Fermi level is 20.255 states/eV per cell.

***

DFT (PBE) results for a geometry-optimized Ac2PrUO8 structure.

The space group is P2/m (No. 10) and the conventional cell measures 4.0890, 7.8603 and 5.7639 Å, with angles of 90.00, 90.06 and 90.00 degrees. Symmetry generates all atoms from Ac at (0.0000, 0.2456, 0.0000), Pr at (0.5000, 0.5000, 0.5000), U at (0.5000, 0.0000, 0.5000), O at (0.9998, 0.5000, 0.2553), O at (0.0009, 0.0000, 0.2910) and O at (0.5005, 0.2147, 0.2733).

As for the uncorrected formation energy: -3166 meV per atom. The value obtained for the density of states at the Fermi level is 7.102 states/eV per cell.

***

Number 1: electronic total energy -9.005 eV/atom. Number 2: electronic total energy -8.495 eV/atom.